Crystalline RbDyBe2F8 at its relaxed geometry, computed with PBE-GGA. Values from VASP.

The crystal system is monoclinic. The uncorrected energy is -5.830 eV/atom. The value obtained for the density of states at the Fermi level is 0.0 states/eV/cell. For the formation energy without anion corrections, the calculation gives -3498 meV/atom.

```
&SYSTEM
  ibrav = 0, nat = 12, ntyp = 4
/
ATOMIC_SPECIES
Rb 85.47 Rb.upf
Dy 162.50 Dy.upf
Be 9.01 Be.upf
F 19.00 F.upf
CELL_PARAMETERS angstrom
-3.238 0.462 -3.933
-3.211 -3.941 -0.567
-6.065 3.556 4.700
ATOMIC_POSITIONS crystal
Rb 0.000 0.000 0.500
Dy 0.000 0.000 0.000
Be 0.624 0.624 0.220
Be 0.376 0.376 0.780
F 0.711 0.245 0.811
F 0.752 0.752 0.073
F 0.687 0.687 0.379
F 0.313 0.313 0.621
F 0.248 0.248 0.927
F 0.245 0.711 0.811
F 0.755 0.289 0.189
F 0.289 0.755 0.189
```